Material: SrZn3O4
Method: DFT, GGA-PBE
State: optimized geometry

a b c (Å): 3.3872 5.8310 5.8310
angles (deg): 87.24 90.00 90.00
Fractional positions:
Sr 0.0000 0.0000 0.0000
Zn 0.0000 0.3810 0.3810
Zn 0.5000 0.4722 0.8332
Zn 0.5000 0.8332 0.4722
O 0.0000 0.3374 0.7307
O 0.0000 0.7307 0.3374
O 0.5000 0.2424 0.2424
O 0.5000 0.8021 0.8021

Properties
Space group: Amm2
DFT total energy: -4.810 eV/atom
Raw formation energy: -1.6428 eV per atom